Record 1
Computed, not measured: an optimized crystal structure of Na2CrS at the PBE-GGA level of DFT.

Structure (POSCAR):
```
Na2CrS
1.0
-7.048 3.518 -6.456
-3.958 -9.352 -0.776
-6.897 -2.473 -1.852
Cr S Na
2 2 4
direct
0.000 0.000 0.000
0.750 0.250 0.500
0.500 0.500 0.000
0.250 0.750 0.500
0.477 0.125 0.250
0.273 0.625 0.250
0.375 0.523 0.750
0.875 0.727 0.750
```

Computed properties:
N(E_F) in states/eV per atom: 0.1185
Formation energy from raw total energies in eV per atom: -0.13

Record 2
Computed, not measured: an optimized crystal structure of NaCrS2 at the PBE-GGA level of DFT.

Structure (POSCAR):
```
NaCrS2
1.0
2.566 0.000 7.212
-1.283 2.223 7.212
-1.283 -2.223 7.212
Cr S Na
1 2 1
direct
0.000 0.000 0.000
0.902 0.902 0.902
0.098 0.098 0.098
0.500 0.500 0.500
```

Computed properties:
N(E_F) in states/eV per atom: 0.0000
Formation energy from raw total energies in eV per atom: -0.13

Record 3
Computed, not measured: an optimized crystal structure of NaCrS3 at the PBE-GGA level of DFT.

Structure (POSCAR):
```
NaCrS3
1.0
4.751 0.000 0.000
0.000 4.751 0.000
0.000 0.000 4.751
Cr S Na
1 3 1
direct
0.500 0.500 0.500
0.000 0.500 0.000
0.000 0.000 0.500
0.500 0.000 0.000
0.000 0.000 0.000
```

Computed properties:
N(E_F) in states/eV per atom: 1.7128
Formation energy from raw total energies in eV per atom: 1.44

Record 4
Computed, not measured: an optimized crystal structure of Na2Cr3S6 at the PBE-GGA level of DFT.

Structure (POSCAR):
```
Na2Cr3S6
1.0
5.814 0.000 1.704
2.907 5.221 0.852
-0.002 0.000 6.976
Na Cr S
2 3 6
direct
0.169 0.662 0.500
0.831 0.338 0.500
0.000 0.000 0.000
0.337 0.326 0.000
0.663 0.674 0.000
0.396 0.665 0.807
0.733 0.000 0.801
0.062 0.335 0.807
0.267 0.000 0.199
0.604 0.335 0.193
0.938 0.665 0.193
```

Computed properties:
N(E_F) in states/eV per atom: 0.7293
Formation energy from raw total energies in eV per atom: -0.85

Record 5
Computed, not measured: an optimized crystal structure of NaCrS2 at the PBE-GGA level of DFT.

Structure (POSCAR):
```
NaCrS2
1.0
6.789 -0.005 -0.003
5.841 3.461 -0.003
5.841 1.598 3.070
Cr S Na
1 2 1
direct
0.000 0.000 0.000
0.733 0.733 0.733
0.267 0.267 0.267
0.500 0.500 0.500
```

Computed properties:
Formation energy from raw total energies in eV per atom: -0.94

Record 6
Computed, not measured: an optimized crystal structure of Na3CrS3 at the PBE-GGA level of DFT.

Structure (POSCAR):
```
Na3CrS3
1.0
6.351 0.000 0.000
-3.176 8.820 0.000
0.000 0.000 11.235
Na Cr S
12 4 12
direct
0.642 0.000 0.843
0.858 0.000 0.343
0.142 0.000 0.657
0.358 0.000 0.157
0.970 0.633 0.370
0.530 0.367 0.870
0.837 0.367 0.130
0.663 0.633 0.630
0.030 0.367 0.630
0.470 0.633 0.130
0.163 0.633 0.870
0.337 0.367 0.370
0.415 0.831 0.500
0.085 0.169 0.000
0.585 0.169 0.500
0.915 0.831 0.000
0.214 0.000 0.903
0.286 0.000 0.403
0.714 0.000 0.597
0.786 0.000 0.097
0.547 0.686 0.382
0.953 0.314 0.882
0.360 0.314 0.118
0.140 0.686 0.618
0.453 0.314 0.618
0.047 0.686 0.118
0.640 0.686 0.882
0.860 0.314 0.382
```

Computed properties:
N(E_F) in states/eV per atom: 0.1733
Formation energy from raw total energies in eV per atom: -0.90

Record 7
Computed, not measured: an optimized crystal structure of NaCr2S4 at the PBE-GGA level of DFT.

Structure (POSCAR):
```
NaCr2S4
1.0
7.359 -0.008 -0.063
6.585 3.285 -0.063
1.650 0.388 5.353
Na Cr S
1 2 4
direct
0.500 0.500 0.500
0.752 0.752 0.204
0.248 0.248 0.796
0.359 0.359 0.009
0.641 0.641 0.991
0.837 0.837 0.521
0.163 0.163 0.479
```

Computed properties:
N(E_F) in states/eV per atom: 0.4566
Formation energy from raw total energies in eV per atom: -0.76

Record 8
Computed, not measured: an optimized crystal structure of NaCrS at the PBE-GGA level of DFT.

Structure (POSCAR):
```
NaCrS
1.0
3.675 0.000 0.000
1.837 3.182 0.000
1.837 1.061 10.280
S Cr Na
2 2 2
direct
0.280 0.280 0.159
0.720 0.720 0.841
0.352 0.352 0.944
0.648 0.648 0.056
0.883 0.883 0.350
0.117 0.117 0.650
```

Computed properties:
N(E_F) in states/eV per atom: 0.6333
Formation energy from raw total energies in eV per atom: -0.40

Record 9
Computed, not measured: an optimized crystal structure of NaCrS2 at the PBE-GGA level of DFT.

Structure (POSCAR):
```
NaCrS2
1.0
0.000 3.205 3.205
3.205 0.000 3.205
3.205 3.205 0.000
Cr S Na
1 2 1
direct
0.500 0.500 0.500
0.250 0.250 0.250
0.750 0.750 0.750
0.000 0.000 0.000
```

Computed properties:
N(E_F) in states/eV per atom: 0.5412
Formation energy from raw total energies in eV per atom: -0.31

Record 10
Computed, not measured: an optimized crystal structure of NaCrS3 at the PBE-GGA level of DFT.

Structure (POSCAR):
```
NaCrS3
1.0
-2.810 3.015 1.921
-3.574 -2.307 -1.607
-0.091 -2.503 3.796
Cr S Na
1 3 1
direct
0.000 0.000 0.000
0.000 0.500 0.000
0.000 0.000 0.500
0.500 0.000 0.000
0.500 0.500 0.500
```

Computed properties:
N(E_F) in states/eV per atom: 1.0632
Formation energy from raw total energies in eV per atom: -0.28

Record 11
Computed, not measured: an optimized crystal structure of Na3CrS at the PBE-GGA level of DFT.

Structure (POSCAR):
```
Na3CrS
1.0
5.478 0.000 0.000
0.000 5.478 0.000
0.000 0.000 5.478
Cr S Na
1 1 3
direct
0.000 0.000 0.000
0.500 0.500 0.500
0.000 0.500 0.000
0.000 0.000 0.500
0.500 0.000 0.000
```

Computed properties:
N(E_F) in states/eV per atom: 0.0224
Formation energy from raw total energies in eV per atom: 0.65

Record 12
Computed, not measured: an optimized crystal structure of NaCrS2 at the PBE-GGA level of DFT.

Structure (POSCAR):
```
NaCrS2
1.0
3.577 0.000 0.000
1.788 3.098 0.000
1.788 1.033 6.597
Na Cr S
1 1 2
direct
0.499 0.499 0.504
0.667 0.667 0.998
0.065 0.065 0.804
0.269 0.269 0.194
```

Computed properties:
Formation energy from raw total energies in eV per atom: -0.93

Size of the total moment
In order: 8.00 3.00 1.98 7.99 3.00 12.07 3.01 0.75 3.00 0.00 5.00 3.00
Unit: μB per cell